Hf2TlSe: optimized geometry, GGA-PBE.

Summary:
- V: 21.0 Å³/atom
- Crystal system: cubic
- Energy relative to the lowest polymorph listed for this composition: 284 meV/atom
- Formation energy without anion corrections: -0.10 eV/atom
- Raw total energy: -26.1 eV for the cell shown
- M_tot: 0.00 μB per cell
- Space-group type: Fm-3m

Unit cell a=4.9121 b=4.9121 c=4.9121 alpha=60.00 beta=60.00 gamma=60.00
Positions (direct):
1 Tl 0.5000 0.5000 0.5000
2 Hf 0.2500 0.2500 0.2500
3 Hf 0.7500 0.7500 0.7500
4 Se 0.0000 0.0000 0.0000


HfTlSe2: optimized geometry, GGA-PBE.

Summary:
- V: 26.5 Å³/atom
- Crystal system: orthorhombic
- Formation energy without anion corrections: -0.83 eV/atom
- Raw total energy: -45.2 eV for the cell shown
- M_tot: 0.00 μB per cell
- Space-group type: Cmcm

Unit cell a=15.1724 b=15.1724 c=3.9591 alpha=90.00 beta=90.00 gamma=166.57
Positions (direct):
1 Tl 0.0461 0.9539 0.2500
2 Tl 0.9539 0.0461 0.7500
3 Hf 0.3127 0.6873 0.2500
4 Hf 0.6873 0.3127 0.7500
5 Se 0.2168 0.7832 0.2500
6 Se 0.7832 0.2168 0.7500
7 Se 0.8774 0.1226 0.2500
8 Se 0.1226 0.8774 0.7500


Q: The highest V belongs to which entry?
A: HfTlSe2